Entry 1:
DFT (GGA-PBE) results for Be2AlTc after structural relaxation.

Values from the calculation:
**ΔH_f (0 K)**: -22 kJ per mole of atoms

Structure (extended XYZ):
```
4
Lattice="-1.7271 1.7271 3.8399 1.7271 -1.7271 3.8399 1.7271 1.7271 -3.8399" Properties=species:S:1:pos:R:3 pbc="T T T"
Be 1.7271 0.0000 1.9199
Be 0.0000 1.7271 1.9199
Al 0.0000 0.0000 0.0000
Tc 0.0000 0.0000 3.8399
```


Entry 2:
DFT (GGA-PBE) results for Ba5Tl2P after structural relaxation.

Values from the calculation:
**ΔH_f (0 K)**: -45 kJ per mole of atoms

Structure (extended XYZ):
```
16
Lattice="9.9594 -4.1488 0.0000 9.9594 4.1488 0.0000 -0.8677 0.0000 9.0071" Properties=species:S:1:pos:R:3 pbc="T T T"
Ba 9.3086 3.6146 6.7553
Ba 4.1333 0.5461 2.7169
Ba 7.9244 1.1134 0.6119
Ba 3.6994 -0.5461 7.2204
Ba 11.5605 1.1134 3.8917
Ba 7.4905 -1.1134 5.1154
Ba 15.3516 0.5461 1.7866
Ba 11.1266 -1.1134 8.3952
Ba 14.9177 -0.5461 6.2902
Ba 9.7424 -3.6146 2.2518
Tl 7.5434 2.3170 3.9851
Tl 11.9415 2.3170 0.5184
Tl 7.1095 -2.3170 8.4887
Tl 11.5076 -2.3170 5.0219
P 4.9797 2.0744 0.0000
P 4.5458 -2.0744 4.5035
```


Entry 3:
DFT (GGA-PBE) results for TcP2Au after structural relaxation.

Values from the calculation:
**ΔH_f (0 K)**: -3 kJ per mole of atoms

Structure (extended XYZ):
```
4
Lattice="1.5320 0.8845 7.6260 -1.5320 0.8845 7.6260 0.0000 -1.7690 7.6260" Properties=species:S:1:pos:R:3 pbc="T T T"
Tc 0.0000 0.0000 0.0000
P 0.0000 0.0000 5.9482
P 0.0000 0.0000 16.9297
Au 0.0000 0.0000 11.4389
```